A plane-wave DFT calculation with SCAN was carried out for CaYRh at its PBEsol-relaxed geometry.

Output
DFT total energy   -72.90 eV per formula unit
E_form   -540 meV per atom
Magnetic moment   0.030 μB/cell
Density of states at the Fermi level   1.6 states/eV/f.u.

Lattice parameters (Å, degrees): 3.385 3.385 13.033 90.00 90.00 90.00
Space group I4mm (No. 107)
One atom of each set of equivalent atoms:
Ca (0.000, 0.000, 0.000) x2
Y (0.000, 0.000, 0.256) x2
Rh (0.000, 0.000, 0.642) x2

***

A plane-wave DFT calculation with SCAN was carried out for Ca2ZnRh at its PBEsol-relaxed geometry.

Output
DFT total energy   -67.83 eV per formula unit
E_form   -305 meV per atom
Magnetic moment   0.000 μB/cell
Density of states at the Fermi level   2.8 states/eV/f.u.

Lattice parameters (Å, degrees): 3.443 3.443 7.117 90.00 90.00 90.00
Space group P4/mmm (No. 123)
One atom of each set of equivalent atoms:
Ca (0.000, 0.000, 0.228) x2
Zn (0.500, 0.500, 0.500) x1
Rh (0.500, 0.500, 0.000) x1

***

A plane-wave DFT calculation with SCAN was carried out for CaZn2Rh at its PBEsol-relaxed geometry.

Output
DFT total energy   -70.75 eV per formula unit
E_form   -72 meV per atom
Magnetic moment   0.000 μB/cell
Density of states at the Fermi level   1.9 states/eV/f.u.

Lattice parameters (Å, degrees): 5.430 7.814 3.074 90.00 90.00 90.00
Space group Cmmm (No. 65)
One atom of each set of equivalent atoms:
Ca (0.000, 0.000, 0.000) x2
Zn (0.250, 0.250, 0.500) x4
Rh (0.000, 0.500, 0.000) x2

***

A plane-wave DFT calculation with SCAN was carried out for Ca2ZnRh at its PBEsol-relaxed geometry.

Output
DFT total energy   -67.89 eV per formula unit
E_form   -320 meV per atom
Magnetic moment   0.000 μB/cell
Density of states at the Fermi level   1.9 states/eV/f.u.

Lattice parameters (Å, degrees): 3.629 4.730 10.109 90.00 90.00 90.00
Space group Imm2 (No. 44)
One atom of each set of equivalent atoms:
Ca (0.000, 0.000, 0.000) x2
Ca (0.000, 0.500, 0.211) x2
Zn (0.000, 0.000, 0.428) x2
Rh (0.000, 0.500, 0.761) x2

***

Please write out number 4 again, unchanged.
A plane-wave DFT calculation with SCAN was carried out for Ca2ZnRh at its PBEsol-relaxed geometry.

Output
DFT total energy   -67.89 eV per formula unit
E_form   -320 meV per atom
Magnetic moment   0.000 μB/cell
Density of states at the Fermi level   1.9 states/eV/f.u.

Lattice parameters (Å, degrees): 3.629 4.730 10.109 90.00 90.00 90.00
Space group Imm2 (No. 44)
One atom of each set of equivalent atoms:
Ca (0.000, 0.000, 0.000) x2
Ca (0.000, 0.500, 0.211) x2
Zn (0.000, 0.000, 0.428) x2
Rh (0.000, 0.500, 0.761) x2

***

What is the density of states at the Fermi level in the first record?
1.6 states/eV/f.u.

***

What is the DFT total energy in the fourth record?
-67.89 eV per formula unit

***

Which value of E_form does entry 2 give?
-305 meV per atom